## TaHgSe (PBE)

Data for TaHgSe after structural relaxation.

Values from the calculation:
Calculated volume, Å³ per atom: 22.17
Crystal system: orthorhombic
Calculated total energy, eV per cell: -15.21
Excess energy over the best structure of this formula in the dataset, meV per atom: 278.3
Density, g/cm3: 11.5
Magnetic moment, μB per formula unit: 0.0
Uncorrected formation energy, eV per formula unit: 0.43

Unit cell a=7.9143 b=7.6838 c=3.0957 alpha=82.77 beta=74.40 gamma=22.83
Last column: nearest neighbours and their distance in Å.
Positions (direct):
Ta (0.6773, 0.6773, 0.3227)  2 Se 2.56
Se (0.3033, 0.3033, 0.6967)  2 Ta 2.56
Hg (0.0195, 0.0195, 0.9805)  2 Ta 2.93, 4 Hg 3.10